PBEsol LaBi3Pb, relaxed; DOS(E_F) = 0.95 states/eV/atom; calculated formation energy = 8.27 kcal/mol of atoms
1.0
5.752 0.000 0.000
0.000 5.752 0.000
0.000 0.000 5.752
La Bi Pb
1 3 1
direct
0.000 0.000 0.000
0.000 0.500 0.500
0.500 0.000 0.500
0.500 0.500 0.000
0.500 0.500 0.500



PBEsol Nb6PtAu, relaxed; DOS(E_F) = 1.15 states/eV/atom; calculated formation energy = -6.05 kcal/mol of atoms
1.0
5.166 0.000 0.000
0.000 5.166 0.000
0.000 0.000 5.166
Nb Pt Au
6 1 1
direct
0.000 0.253 0.500
0.000 0.747 0.500
0.253 0.500 0.000
0.500 0.000 0.253
0.500 0.000 0.747
0.747 0.500 0.000
0.500 0.500 0.500
0.000 0.000 0.000



PBEsol CsP2CS, relaxed; DOS(E_F) = 0.77 states/eV/atom; formation energy from raw total energies = 1.16 eV/atom
1.0
4.406 0.000 0.000
0.000 4.406 0.000
0.000 0.000 4.587
Cs P C S
1 2 1 1
direct
0.000 0.000 0.000
0.000 0.500 0.500
0.500 0.000 0.500
0.500 0.500 0.500
0.500 0.500 0.000